## BaMn4Co (GGA-PBEsol)

Data for BaMn4Co after structural relaxation.

The energy of formation is 0.9822 eV/atom. The value obtained for the calculated volume is 15.4 A^3/atom. The raw total energy comes out at -7.17 eV/atom.

It has space group F-43m (No. 216), with a = 7.1701 Å, b = 7.1701 Å, c = 7.1701 Å, α = 90.00°, β = 90.00° and γ = 90.00°. The inequivalent atoms are Ba at (0.0000, 0.0000, 0.0000), Mn at (0.1224, 0.1224, 0.6224) and Co at (0.2500, 0.2500, 0.2500).

=====

## BaMn2Co (GGA-PBEsol)

Data for BaMn2Co after structural relaxation.

The energy of formation is 1.1306 eV/atom. The value obtained for the offset from the most stable computed form is 1.175 eV per formula unit. The value obtained for the calculated volume is 17.8 A^3/atom. The raw total energy comes out at -6.22 eV/atom.

It has space group F-43m (No. 216), with a = 6.5774 Å, b = 6.5774 Å, c = 6.5774 Å, α = 90.00°, β = 90.00° and γ = 90.00°. The inequivalent atoms are Ba at (0.0000, 0.0000, 0.0000), Mn at (0.0000, 0.0000, 0.5000), Mn at (0.2500, 0.2500, 0.7500) and Co at (0.2500, 0.2500, 0.2500).

=====

## BaMn2Co (GGA-PBEsol)

Data for BaMn2Co after structural relaxation.

The energy of formation is 1.1607 eV/atom. The value obtained for the offset from the most stable computed form is 1.295 eV per formula unit. The value obtained for the calculated volume is 18.0 A^3/atom. The raw total energy comes out at -6.19 eV/atom.

It has space group Fm-3m (No. 225), with a = 6.6086 Å, b = 6.6086 Å, c = 6.6086 Å, α = 90.00°, β = 90.00° and γ = 90.00°. The inequivalent atoms are Ba at (0.0000, 0.0000, 0.0000), Mn at (0.2500, 0.2500, 0.2500) and Co at (0.0000, 0.0000, 0.5000).

=====

## BaMn2Co (GGA-PBEsol)

Data for BaMn2Co after structural relaxation.

The energy of formation is 0.8369 eV/atom. The value obtained for the offset from the most stable computed form is 0.000 eV per formula unit. The value obtained for the calculated volume is 17.6 A^3/atom. The raw total energy comes out at -6.52 eV/atom.

It has space group P4/mmm (No. 123), with a = 3.1257 Å, b = 3.1257 Å, c = 7.2109 Å, α = 90.00°, β = 90.00° and γ = 90.00°. The inequivalent atoms are Ba at (0.0000, 0.0000, 0.0000), Mn at (0.5000, 0.5000, 0.3619) and Co at (0.0000, 0.0000, 0.5000).

=====

## Ba3MnCo (GGA-PBEsol)

Data for Ba3MnCo after structural relaxation.

The energy of formation is 0.7003 eV/atom. The value obtained for the calculated volume is 37.0 A^3/atom. The raw total energy comes out at -4.09 eV/atom.

It has space group Pm-3m (No. 221), with a = 5.6966 Å, b = 5.6966 Å, c = 5.6966 Å, α = 90.00°, β = 90.00° and γ = 90.00°. The inequivalent atoms are Ba at (0.0000, 0.0000, 0.5000), Mn at (0.5000, 0.5000, 0.5000) and Co at (0.0000, 0.0000, 0.0000).

=====

## BaMn2Co (GGA-PBEsol)

Data for BaMn2Co after structural relaxation.

The energy of formation is 1.1520 eV/atom. The value obtained for the offset from the most stable computed form is 1.261 eV per formula unit. The value obtained for the calculated volume is 18.1 A^3/atom. The raw total energy comes out at -6.20 eV/atom.

It has space group Cmmm (No. 65), with a = 5.6322 Å, b = 7.6173 Å, c = 3.3776 Å, α = 90.00°, β = 90.00° and γ = 90.00°. The inequivalent atoms are Ba at (0.0000, 0.0000, 0.0000), Mn at (0.2500, 0.2500, 0.5000) and Co at (0.0000, 0.5000, 0.0000).

=====

## Ba4MnCo (GGA-PBEsol)

Data for Ba4MnCo after structural relaxation.

The energy of formation is 1.2945 eV/atom. The value obtained for the calculated volume is 38.0 A^3/atom. The raw total energy comes out at -3.05 eV/atom.

It has space group F-43m (No. 216), with a = 9.6997 Å, b = 9.6997 Å, c = 9.6997 Å, α = 90.00°, β = 90.00° and γ = 90.00°. The inequivalent atoms are Ba at (0.1246, 0.1246, 0.1246), Mn at (0.0000, 0.0000, 0.5000) and Co at (0.2500, 0.2500, 0.7500).

=====

## Ba2YMnCo (GGA-PBEsol)

Data for Ba2YMnCo after structural relaxation.

The energy of formation is 1.0667 eV/atom. The value obtained for the calculated volume is 32.7 A^3/atom. The raw total energy comes out at -4.66 eV/atom.

It has space group P4/mmm (No. 123), with a = 5.7048 Å, b = 5.7048 Å, c = 5.0178 Å, α = 90.00°, β = 90.00° and γ = 90.00°. The inequivalent atoms are Ba at (0.0000, 0.5000, 0.0000), Y at (0.0000, 0.0000, 0.5000), Mn at (0.0000, 0.0000, 0.0000) and Co at (0.5000, 0.5000, 0.5000).

=====

## BaCo2Mo (GGA-PBEsol)

Data for BaCo2Mo after structural relaxation.

The energy of formation is 0.4979 eV/atom. The value obtained for the offset from the most stable computed form is 0.195 eV per formula unit. The value obtained for the calculated volume is 20.8 A^3/atom. The raw total energy comes out at -6.85 eV/atom.

It has space group R3m (No. 160, hexagonal axes), with a = 4.0504 Å, b = 4.0504 Å, c = 17.5285 Å, α = 90.00°, β = 90.00° and γ = 120.00°. The inequivalent atoms are Ba at (0.0000, 0.0000, 0.0000), Co at (0.0000, 0.0000, 0.1902), Co at (0.0000, 0.0000, 0.5189) and Mo at (0.0000, 0.0000, 0.8133).

=====

## BaCo2Mo (GGA-PBEsol)

Data for BaCo2Mo after structural relaxation.

The energy of formation is 0.4493 eV/atom. The value obtained for the offset from the most stable computed form is 0.000 eV per formula unit. The value obtained for the calculated volume is 20.7 A^3/atom. The raw total energy comes out at -6.90 eV/atom.

It has space group R-3m (No. 166, hexagonal axes), with a = 4.0774 Å, b = 4.0774 Å, c = 17.2729 Å, α = 90.00°, β = 90.00° and γ = 120.00°. The inequivalent atoms are Ba at (0.0000, 0.0000, 0.0000), Co at (0.0000, 0.0000, 0.1901) and Mo at (0.0000, 0.0000, 0.5000).

=====

## BaCo2Mo (GGA-PBEsol)

Data for BaCo2Mo after structural relaxation.

The energy of formation is 1.2684 eV/atom. The value obtained for the offset from the most stable computed form is 3.276 eV per formula unit. The value obtained for the calculated volume is 16.1 A^3/atom. The raw total energy comes out at -6.08 eV/atom.

It has space group F-43m (No. 216), with a = 6.3599 Å, b = 6.3599 Å, c = 6.3599 Å, α = 90.00°, β = 90.00° and γ = 90.00°. The inequivalent atoms are Ba at (0.0000, 0.0000, 0.0000), Co at (0.0000, 0.0000, 0.5000), Co at (0.2500, 0.2500, 0.7500) and Mo at (0.2500, 0.2500, 0.2500).

=====

## Ba3CoMo (GGA-PBEsol)

Data for Ba3CoMo after structural relaxation.

The energy of formation is 1.3236 eV/atom. The value obtained for the calculated volume is 38.0 A^3/atom. The raw total energy comes out at -3.87 eV/atom.

It has space group Pm-3m (No. 221), with a = 5.7494 Å, b = 5.7494 Å, c = 5.7494 Å, α = 90.00°, β = 90.00° and γ = 90.00°. The inequivalent atoms are Ba at (0.0000, 0.0000, 0.5000), Co at (0.5000, 0.5000, 0.5000) and Mo at (0.0000, 0.0000, 0.0000).